1.
The following is a GGA-PBE calculation of a geometry-optimized CaSm2Y4Er structure, from Alexandria via LeMat-Bulk.

Output
As for the energy of formation from the pure elements: 0.430 eV/atom. Its size of the total moment is 2.40 μB/f.u. The calculation puts the total energy at -153.7 eV/cell.

a = 13.8162 Å, b = 13.4304 Å, c = 6.8601 Å
α = 90.00°, β = 119.70°, γ = 90.00°
Last column: nearest neighbours and their distance in Å.
Space group C2/c (No. 15)
Inequivalent atoms, fractional coordinates:
Ca  0.0000  0.0000  0.0000 (multiplicity 4)  6 Y 3.38-3.62, 2 Ca 3.43
Sm  0.0000  0.5000  0.0000 (multiplicity 4)  6 Y 3.30-3.33, 2 Sm 3.43
Sm  0.2500  0.2500  0.0000 (multiplicity 4)  6 Y 3.40-3.46, 2 Er 3.43
Y  0.0002  0.2519  0.0012 (multiplicity 8)  3 Sm 3.33-3.46, 1 Ca 3.38, 2 Y 3.42-3.44, 2 Er 3.45
Y  0.2356  0.4972  0.4827 (multiplicity 8)  3 Sm 3.30-3.40, 1 Er 3.32, 2 Y 3.43, 2 Ca 3.60-3.62
Er  0.2500  0.2500  0.5000 (multiplicity 4)  6 Y 3.32-3.45, 2 Sm 3.43

2.
The following is a GGA-PBE calculation of a geometry-optimized CaErSn structure, from Alexandria via LeMat-Bulk.

Output
As for the energy of formation from the pure elements: -0.325 eV/atom. Its size of the total moment is 0.00 μB/f.u. The calculation puts the total energy at -11.5 eV/cell.

a = 5.2352 Å, b = 5.2352 Å, c = 3.7377 Å
α = 90.00°, β = 90.00°, γ = 120.00°
Last column: nearest neighbours and their distance in Å.
Space group P3m1 (No. 156)
Inequivalent atoms, fractional coordinates:
Ca  0.0000  0.0000  0.0000 (multiplicity 1)  3 Sn 3.25, 3 Er 3.46
Er  0.6667  0.3333  0.5500 (multiplicity 1)  3 Sn 3.14, 3 Ca 3.46
Sn  0.3333  0.6667  0.3179 (multiplicity 1)  3 Er 3.14, 3 Ca 3.25

3.
The following is a GGA-PBE calculation of a geometry-optimized CaErSn structure, from Alexandria via LeMat-Bulk.

Output
As for the energy of formation from the pure elements: -0.542 eV/atom. Its size of the total moment is 0.91 μB/f.u. The calculation puts the total energy at -24.4 eV/cell.

a = 4.8038 Å, b = 4.8038 Å, c = 8.1882 Å
α = 90.00°, β = 90.00°, γ = 90.00°
Last column: nearest neighbours and their distance in Å.
Space group P4/nmm (No. 129, origin choice 2)
Inequivalent atoms, fractional coordinates:
Ca  0.2500  0.2500  0.1469 (multiplicity 2)  5 Sn 3.25-3.50
Er  0.2500  0.7500  0.5000 (multiplicity 2)  4 Sn 3.16, 4 Er 3.40
Sn  0.2500  0.2500  0.7501 (multiplicity 2)  4 Er 3.16, 5 Ca 3.25-3.50

4.
The following is a GGA-PBE calculation of a geometry-optimized CaErSn structure, from Alexandria via LeMat-Bulk.

Output
As for the energy of formation from the pure elements: -0.429 eV/atom. Its size of the total moment is 0.00 μB/f.u. The calculation puts the total energy at -47.4 eV/cell.

a = 7.3319 Å, b = 7.3319 Å, c = 7.3319 Å
α = 90.00°, β = 90.00°, γ = 90.00°
Last column: nearest neighbours and their distance in Å.
Space group F-43m (No. 216)
Inequivalent atoms, fractional coordinates:
Ca  0.0000  0.0000  0.0000 (multiplicity 4)  4 Sn 3.17
Er  0.0000  0.0000  0.5000 (multiplicity 4)  4 Sn 3.17
Sn  0.2500  0.2500  0.7500 (multiplicity 4)  4 Er 3.17, 4 Ca 3.17

5.
The following is a GGA-PBE calculation of a geometry-optimized CaErSn structure, from Alexandria via LeMat-Bulk.

Output
As for the energy of formation from the pure elements: -0.362 eV/atom. Its size of the total moment is 0.00 μB/f.u. The calculation puts the total energy at -23.3 eV/cell.

a = 5.1905 Å, b = 5.1905 Å, c = 7.9800 Å
α = 90.00°, β = 90.00°, γ = 120.00°
Last column: nearest neighbours and their distance in Å.
Space group P-3m1 (No. 164)
Inequivalent atoms, fractional coordinates:
Ca  0.3333  0.6667  0.3695 (multiplicity 2)  3 Sn 3.28, 3 Ca 3.65
Er  0.3333  0.6667  0.9005 (multiplicity 2)  3 Sn 3.11, 3 Er 3.39
Sn  0.0000  0.0000  0.2014 (multiplicity 2)  3 Er 3.11, 1 Sn 3.21, 3 Ca 3.28

6.
The following is a GGA-PBE calculation of a geometry-optimized Ca3ErSn12 structure, from Alexandria via LeMat-Bulk.

Output
As for the energy of formation from the pure elements: -0.385 eV/atom. Its size of the total moment is 0.00 μB/f.u. The calculation puts the total energy at -64.8 eV/cell.

a = 4.7318 Å, b = 4.7318 Å, c = 19.0714 Å
α = 90.00°, β = 90.00°, γ = 90.00°
Last column: nearest neighbours and their distance in Å.
Space group P4/mmm (No. 123)
Inequivalent atoms, fractional coordinates:
Ca  0.0000  0.0000  0.0000 (multiplicity 1)  12 Sn 3.35-3.36
Ca  0.0000  0.0000  0.2521 (multiplicity 2)  12 Sn 3.35-3.38
Er  0.0000  0.0000  0.5000 (multiplicity 1)  12 Sn 3.33-3.35
Sn  0.0000  0.5000  0.1254 (multiplicity 4)  8 Sn 3.35-3.37, 4 Ca 3.36-3.38
Sn  0.0000  0.5000  0.3773 (multiplicity 4)  8 Sn 3.33-3.38, 2 Er 3.33, 2 Ca 3.36
Sn  0.5000  0.5000  0.0000 (multiplicity 1)  4 Ca 3.35, 8 Sn 3.36
Sn  0.5000  0.5000  0.2510 (multiplicity 2)  4 Ca 3.35, 8 Sn 3.37-3.38
Sn  0.5000  0.5000  0.5000 (multiplicity 1)  8 Sn 3.33, 4 Er 3.35

7.
The following is a GGA-PBE calculation of a geometry-optimized CaEr4Sn4 structure, from Alexandria via LeMat-Bulk.

Output
As for the energy of formation from the pure elements: -0.460 eV/atom. Its size of the total moment is 0.00 μB/f.u. The calculation puts the total energy at -80.8 eV/cell.

a = 9.9442 Å, b = 9.9442 Å, c = 6.0849 Å
α = 90.00°, β = 90.00°, γ = 90.00°
Last column: nearest neighbours and their distance in Å.
Space group P4_2/n (No. 86, origin choice 2)
Inequivalent atoms, fractional coordinates:
Ca  0.2500  0.2500  0.2500 (multiplicity 2)  4 Sn 3.36
Er  0.1089  0.6390  0.1423 (multiplicity 8)  5 Sn 3.03-3.21
Sn  0.0476  0.6001  0.6570 (multiplicity 8)  1 Sn 2.92, 5 Er 3.03-3.21

8.
The following is a GGA-PBE calculation of a geometry-optimized CaErSn6 structure, from Alexandria via LeMat-Bulk.

Output
As for the energy of formation from the pure elements: -0.396 eV/atom. Its size of the total moment is 0.00 μB/f.u. The calculation puts the total energy at -33.7 eV/cell.

a = 4.7092 Å, b = 4.7092 Å, c = 9.5609 Å
α = 90.00°, β = 90.00°, γ = 90.00°
Last column: nearest neighbours and their distance in Å.
Space group P4/mmm (No. 123)
Inequivalent atoms, fractional coordinates:
Ca  0.0000  0.0000  0.0000 (multiplicity 1)  12 Sn 3.33-3.38
Er  0.0000  0.0000  0.5000 (multiplicity 1)  12 Sn 3.33
Sn  0.0000  0.5000  0.2530 (multiplicity 4)  8 Sn 3.33-3.38, 2 Er 3.33, 2 Ca 3.38
Sn  0.5000  0.5000  0.0000 (multiplicity 1)  4 Ca 3.33, 8 Sn 3.38
Sn  0.5000  0.5000  0.5000 (multiplicity 1)  4 Er 3.33, 8 Sn 3.33

Please write out number 1 again, unchanged.
The following is a GGA-PBE calculation of a geometry-optimized CaSm2Y4Er structure, from Alexandria via LeMat-Bulk.

Output
As for the energy of formation from the pure elements: 0.430 eV/atom. Its size of the total moment is 2.40 μB/f.u. The calculation puts the total energy at -153.7 eV/cell.

a = 13.8162 Å, b = 13.4304 Å, c = 6.8601 Å
α = 90.00°, β = 119.70°, γ = 90.00°
Last column: nearest neighbours and their distance in Å.
Space group C2/c (No. 15)
Inequivalent atoms, fractional coordinates:
Ca  0.0000  0.0000  0.0000 (multiplicity 4)  6 Y 3.38-3.62, 2 Ca 3.43
Sm  0.0000  0.5000  0.0000 (multiplicity 4)  6 Y 3.30-3.33, 2 Sm 3.43
Sm  0.2500  0.2500  0.0000 (multiplicity 4)  6 Y 3.40-3.46, 2 Er 3.43
Y  0.0002  0.2519  0.0012 (multiplicity 8)  3 Sm 3.33-3.46, 1 Ca 3.38, 2 Y 3.42-3.44, 2 Er 3.45
Y  0.2356  0.4972  0.4827 (multiplicity 8)  3 Sm 3.30-3.40, 1 Er 3.32, 2 Y 3.43, 2 Ca 3.60-3.62
Er  0.2500  0.2500  0.5000 (multiplicity 4)  6 Y 3.32-3.45, 2 Sm 3.43